Entry 1:
This record from the Alexandria database describes a geometry-optimized CaPu2TeO8 structure. The functional is PBE.

For the density of states at the Fermi level, the calculation gives 22.5 states/eV per cell. As for the uncorrected formation energy: -2365.9 meV per atom. Its mass density is 7.34 g cm⁻³.

The structure belongs to space group Cmmm (No. 65); the cell edges are 7.0535, 7.2202 and 6.9613 Å and the angles 90.00°, 90.00° and 90.00°. The asymmetric unit holds Ca at (0.0000, 0.0000, 0.0000), Pu at (0.0000, 0.5000, 0.2495), Te at (0.0000, 0.0000, 0.5000), O at (0.0000, 0.3062, 0.5000), O at (0.0000, 0.3244, 0.0000) and O at (0.2016, 0.0000, 0.2682).



Entry 2:
This record from the Alexandria database describes a geometry-optimized ZnFeMo2 structure. The functional is PBE.

The formation energy is 248 meV/atom. For the density of states at the Fermi level, the calculation gives 10.9 states/eV per cell. Its mass density is 9.08 g cm⁻³.

The structure belongs to space group R-3m (No. 166, hexagonal axes); the cell edges are 2.7186, 2.7186 and 26.8497 Å and the angles 90.00°, 90.00° and 120.00°. The asymmetric unit holds Zn at (0.0000, 0.0000, 0.0000), Fe at (0.0000, 0.0000, 0.5000) and Mo at (0.0000, 0.0000, 0.2447).



Entry 3:
This record from the Alexandria database describes a geometry-optimized SrTmHg2 structure. The functional is PBE.

The formation energy is -337 meV/atom. For the density of states at the Fermi level, the calculation gives 6.5 states/eV per cell. Its mass density is 8.80 g cm⁻³.

The structure belongs to space group R3m (No. 160, hexagonal axes); the cell edges are 3.9881, 3.9881 and 27.0428 Å and the angles 90.00°, 90.00° and 120.00°. The asymmetric unit holds Sr at (0.0000, 0.0000, 0.0000), Tm at (0.0000, 0.0000, 0.1659), Hg at (0.0000, 0.0000, 0.5748) and Hg at (0.0000, 0.0000, 0.7578).



Entry 4:
This record from the Alexandria database describes a geometry-optimized PuPa2B9 structure. The functional is PBE.

The formation energy is -135 meV/atom. For the density of states at the Fermi level, the calculation gives 33.2 states/eV per cell. Its mass density is 8.74 g cm⁻³.

The structure belongs to space group R-3m (No. 166, hexagonal axes); the cell edges are 4.3679, 4.3679 and 27.7166 Å and the angles 90.00°, 90.00° and 120.00°. The asymmetric unit holds Pu at (0.0000, 0.0000, 0.0000), Pa at (0.0000, 0.0000, 0.1190), B at (0.0000, 0.0000, 0.4105), B at (0.0000, 0.0000, 0.5000) and B at (0.0873, 0.5436, 0.9369).



Entry 5:
This record from the Alexandria database describes a geometry-optimized SrCuGeAu6 structure. The functional is PBE.

The formation energy is -128 meV/atom. For the density of states at the Fermi level, the calculation gives 14.6 states/eV per cell. Its mass density is 12.38 g cm⁻³.

The structure belongs to space group Imma (No. 74); the cell edges are 7.3953, 9.1343 and 11.1643 Å and the angles 90.00°, 90.00° and 90.00°. The asymmetric unit holds Sr at (0.0000, 0.2500, 0.2073), Cu at (0.2500, 0.2500, 0.7500), Ge at (0.0000, 0.0000, 0.0000), Au at (0.0000, 0.2500, 0.4954), Au at (0.0000, 0.2500, 0.9075) and Au at (0.1917, 0.0052, 0.6284).



Entry 6:
This record from the Alexandria database describes a geometry-optimized TeIrOsF2 structure. The functional is PBE.

For the density of states at the Fermi level, the calculation gives 4.1 states/eV per cell. As for the uncorrected formation energy: 357.0 meV per atom. Its mass density is 10.26 g cm⁻³.

The structure belongs to space group P4/mmm (No. 123); the cell edges are 4.1143, 4.1143 and 5.2412 Å and the angles 90.00°, 90.00° and 90.00°. The asymmetric unit holds Te at (0.0000, 0.0000, 0.0000), Ir at (0.0000, 0.0000, 0.5000), Os at (0.5000, 0.5000, 0.5000) and F at (0.0000, 0.5000, 0.0000).